# GGA+U Nd2CrPbO6, relaxed
data_Nd2CrPbO6
_cell_length_a 5.511
_cell_length_b 5.511
_cell_length_c 5.251
_cell_angle_alpha 90.00
_cell_angle_beta 90.00
_cell_angle_gamma 90.00
_symmetry_space_group_name_H-M 'P 1'
_symmetry_Int_Tables_number 1
loop_
_symmetry_equiv_pos_as_xyz
'x,y,z'
loop_
_atom_site_label
_atom_site_type_symbol
_atom_site_fract_x
_atom_site_fract_y
_atom_site_fract_z
_atom_site_occupancy
Nd1 Nd 0.000 0.500 0.000 1
Nd2 Nd 0.500 0.000 0.000 1
Cr1 Cr 0.000 0.000 0.618 1
Pb1 Pb 0.500 0.500 0.553 1
O1 O 0.000 0.000 0.252 1
O2 O 0.236 0.236 0.745 1
O3 O 0.236 0.764 0.745 1
O4 O 0.500 0.500 0.126 1
O5 O 0.764 0.236 0.745 1
O6 O 0.764 0.764 0.745 1
# D(E_F): 0.105 states/eV/atom
# Total moment: 2.2 μB/f.u.
# Volume: 15.9 A^3/atom
# Space group: No. 99
# Total energy: -72.1 eV for the cell shown